The following is a DFT calculation (PBE) of LiHoTe after structural relaxation.

The structure in CIF format:
```
data_LiHoTe
_chemical_formula_sum 'Li4 Ho4 Te4'
_cell_length_a 6.8596
_cell_length_b 6.8596
_cell_length_c 6.8596
_cell_angle_alpha 90.00
_cell_angle_beta 90.00
_cell_angle_gamma 90.00
_symmetry_space_group_name_H-M 'F -4 3 m'
_symmetry_Int_Tables_number 216
_symmetry_space_group_name_Hall 'F -4 2 3'
loop_
_atom_site_label
_atom_site_type_symbol
_atom_site_fract_x
_atom_site_fract_y
_atom_site_fract_z
Li1 Li 0.0000 0.0000 0.0000
Ho1 Ho 0.0000 0.0000 0.5000
Te1 Te 0.2500 0.2500 0.7500
```

The following is a DFT calculation (PBE) of LiHoU after structural relaxation.

The structure in CIF format:
```
data_LiHoU
_chemical_formula_sum 'Li4 Ho4 U4'
_cell_length_a 6.8647
_cell_length_b 6.8647
_cell_length_c 6.8647
_cell_angle_alpha 90.00
_cell_angle_beta 90.00
_cell_angle_gamma 90.00
_symmetry_space_group_name_H-M 'F -4 3 m'
_symmetry_Int_Tables_number 216
_symmetry_space_group_name_Hall 'F -4 2 3'
loop_
_atom_site_label
_atom_site_type_symbol
_atom_site_fract_x
_atom_site_fract_y
_atom_site_fract_z
Li1 Li 0.0000 0.0000 0.0000
Ho1 Ho 0.2500 0.2500 0.7500
U1 U 0.2500 0.2500 0.2500
```

The following is a DFT calculation (PBE) of LiHoZn after structural relaxation.

The structure in CIF format:
```
data_LiHoZn
_chemical_formula_sum 'Li4 Ho4 Zn4'
_cell_length_a 6.6730
_cell_length_b 6.6730
_cell_length_c 6.6730
_cell_angle_alpha 90.00
_cell_angle_beta 90.00
_cell_angle_gamma 90.00
_symmetry_space_group_name_H-M 'F -4 3 m'
_symmetry_Int_Tables_number 216
_symmetry_space_group_name_Hall 'F -4 2 3'
loop_
_atom_site_label
_atom_site_type_symbol
_atom_site_fract_x
_atom_site_fract_y
_atom_site_fract_z
Li1 Li 0.0000 0.0000 0.0000
Ho1 Ho 0.2500 0.2500 0.2500
Zn1 Zn 0.0000 0.0000 0.5000
```

Uncorrected energy in eV per atom, matching the order above: -3.747, -4.789, -2.150